Np3Be | PBE | relaxed

Lattice parameters (Å, degrees): 6.2998 6.2998 6.2998 90.00 90.00 90.00
Closest atoms and distances in Å follow each position.
Space group Fm-3m (No. 225)
Unique sites:
Np1 0.0000 0.0000 0.0000 (multiplicity 4)  8 Np 2.73
Np2 0.2500 0.2500 0.2500 (multiplicity 8)  4 Be 2.73, 4 Np 2.73
Be1 0.0000 0.0000 0.5000 (multiplicity 4)  8 Np 2.73

Its electronic total energy is -10.402 eV per atom. The total magnetization is 0.0966 μB per atom.

=====

NpBe2 | PBE | relaxed

Lattice parameters (Å, degrees): 6.7330 6.7330 6.7330 90.00 90.00 90.00
Closest atoms and distances in Å follow each position.
Space group Fd-3m (No. 227, origin choice 2)
Unique sites:
Np1 0.1250 0.1250 0.1250 (multiplicity 8)  12 Be 2.79, 4 Np 2.92
Be1 0.0000 0.0000 0.5000 (multiplicity 16)  6 Be 2.38

Its electronic total energy is -6.592 eV per atom. The total magnetization is 0.9162 μB per atom.

=====

NpBe4 | PBE | relaxed

Lattice parameters (Å, degrees): 4.8439 4.8439 4.8439 90.00 90.00 90.00
Closest atoms and distances in Å follow each position.
Space group Pm-3m (No. 221)
Unique sites:
Np1 0.0000 0.0000 0.0000 (multiplicity 1)  6 Be 2.42
Be1 0.0000 0.0000 0.5000 (multiplicity 3)  2 Np 2.42
Be2 0.5000 0.5000 0.5000 (multiplicity 1)  12 Be 3.43

Its electronic total energy is -2.995 eV per atom. The total magnetization is 1.1905 μB per atom.

=====

NpBeO5 | PBE | relaxed

Lattice parameters (Å, degrees): 9.0300 5.3873 8.4073 90.00 121.11 90.00
Closest atoms and distances in Å follow each position.
Space group C2/c (No. 15)
Unique sites:
Np1 0.0000 0.0000 0.0000 (multiplicity 4)  4 O 1.87-1.92
Be1 0.0000 0.4967 0.2500 (multiplicity 4)  3 O 1.60-1.62
O1 0.0000 0.1991 0.2500 (multiplicity 4)  1 Be 1.60
O2 0.0287 0.3190 0.9162 (multiplicity 8)  1 Be 1.62
O3 0.2398 0.0357 0.6443 (multiplicity 8)  1 Np 1.87, 1 Be 2.05

Its electronic total energy is -8.002 eV per atom. The calculation puts the uncorrected formation energy at -2.08 eV/atom. The total magnetization is 0.0000 μB per atom.

=====

NpPaBeO6 | PBE | relaxed

Lattice parameters (Å, degrees): 5.1569 5.1569 9.7732 90.00 90.00 120.00
Closest atoms and distances in Å follow each position.
Space group P-31c (No. 163)
Unique sites:
Np1 0.3333 0.6667 0.2500 (multiplicity 2)  6 O 2.14
Pa1 0.0000 0.0000 0.0000 (multiplicity 2)  6 O 2.21
Be1 0.3333 0.6667 0.7500 (multiplicity 2)  6 O 1.93
O1 0.0316 0.3578 0.6360 (multiplicity 12)  1 Be 1.93, 1 Np 2.14

Its electronic total energy is -9.098 eV per atom. The calculation puts the uncorrected formation energy at -2.89 eV/atom. The total magnetization is 0.2222 μB per atom.

=====

Np2BePbO8 | PBE | relaxed

Lattice parameters (Å, degrees): 4.8827 5.3728 6.9381 93.77 94.20 96.32
Closest atoms and distances in Å follow each position.
Space group P-1 (No. 2)
Unique sites:
Np1 0.0284 0.0346 0.2610 (multiplicity 2)  4 O 1.92-2.14
Be1 0.5000 0.5000 0.5000 (multiplicity 1)  2 O 1.51
Pb1 0.5000 0.5000 0.0000 (multiplicity 1)  6 O 2.37-2.64
O1 0.1020 0.7858 0.9682 (multiplicity 2)  1 Np 2.01
O2 0.1465 0.8227 0.4677 (multiplicity 2)  1 Np 1.98
O3 0.3192 0.1747 0.7633 (multiplicity 2)  1 Np 1.92
O4 0.3614 0.3281 0.3314 (multiplicity 2)  1 Be 1.51

Its electronic total energy is -8.340 eV per atom. The calculation puts the uncorrected formation energy at -2.26 eV/atom. The total magnetization is 0.1667 μB per atom.

=====

NpBe2Pb2O6 | PBE | relaxed

Lattice parameters (Å, degrees): 5.2402 5.2402 8.1699 90.00 90.00 120.00
Closest atoms and distances in Å follow each position.
Space group P-3 (No. 147)
Unique sites:
Np1 0.0000 0.0000 0.0000 (multiplicity 1)  6 O 2.25
Be1 0.3333 0.6667 0.8363 (multiplicity 2)  3 O 1.55
Pb1 0.3333 0.6667 0.3143 (multiplicity 2)  3 O 2.26
O1 0.0443 0.6811 0.8336 (multiplicity 6)  1 Be 1.55

Its electronic total energy is -7.352 eV per atom. The calculation puts the uncorrected formation energy at -2.12 eV/atom. The total magnetization is 0.2727 μB per atom.

=====

NpBePbO5 | PBE | relaxed

Lattice parameters (Å, degrees): 6.9854 9.1657 7.8719 90.00 115.13 90.00
Closest atoms and distances in Å follow each position.
Space group C2/c (No. 15)
Unique sites:
Np1 0.0000 0.0000 0.0000 (multiplicity 4)  6 O 2.06-2.09
Be1 0.0000 0.3103 0.2500 (multiplicity 4)  4 O 1.70-1.71
Pb1 0.0000 0.3439 0.7500 (multiplicity 4)  5 O 2.44-2.64
O1 0.0000 0.0775 0.7500 (multiplicity 4)  2 Np 2.09
O2 0.0892 0.2045 0.1215 (multiplicity 8)  1 Be 1.70
O3 0.1917 0.4265 0.3930 (multiplicity 8)  1 Be 1.71

Its electronic total energy is -7.933 eV per atom. The calculation puts the uncorrected formation energy at -2.29 eV/atom. The total magnetization is 0.1250 μB per atom.

=====

NpBe2PbO8 | PBE | relaxed

Lattice parameters (Å, degrees): 8.0468 5.4476 6.8953 90.00 91.35 90.00
Closest atoms and distances in Å follow each position.
Space group C2/m (No. 12)
Unique sites:
Np1 0.0000 0.0000 0.0000 (multiplicity 2)  2 O 1.89
Be1 0.1462 0.5000 0.2509 (multiplicity 4)  4 O 1.62-1.67
Pb1 0.0000 0.0000 0.5000 (multiplicity 2)  6 O 2.10-2.32
O1 0.0367 0.2500 0.2327 (multiplicity 8)  1 Be 1.63
O2 0.2273 0.0000 0.9381 (multiplicity 4)  1 Be 1.67
O3 0.2409 0.5000 0.4614 (multiplicity 4)  1 Be 1.62

Its electronic total energy is -7.141 eV per atom. The calculation puts the uncorrected formation energy at -1.83 eV/atom. The total magnetization is 0.0885 μB per atom.

=====

NpBePbO6 | PBE | relaxed

Lattice parameters (Å, degrees): 5.1470 5.1470 10.1250 90.00 90.00 120.00
Closest atoms and distances in Å follow each position.
Space group P-31c (No. 163)
Unique sites:
Np1 0.3333 0.6667 0.2500 (multiplicity 2)  6 O 2.02
Be1 0.3333 0.6667 0.7500 (multiplicity 2)  6 O 1.89
Pb1 0.0000 0.0000 0.0000 (multiplicity 2)  6 O 2.39
O1 0.0195 0.3772 0.6444 (multiplicity 12)  1 Be 1.89, 1 Np 2.02

Its electronic total energy is -7.491 eV per atom. The calculation puts the uncorrected formation energy at -1.92 eV/atom. The total magnetization is 0.0000 μB per atom.

=====

NpBe2PdO8 | PBE | relaxed

Lattice parameters (Å, degrees): 5.3197 5.3197 5.8675 90.00 90.00 120.00
Closest atoms and distances in Å follow each position.
Space group P-3m1 (No. 164)
Unique sites:
Np1 0.0000 0.0000 0.0000 (multiplicity 1)  6 O 2.11
Be1 0.3333 0.6667 0.1995 (multiplicity 2)  4 O 1.57-1.63
Pd1 0.0000 0.0000 0.5000 (multiplicity 1)  6 O 2.06
O1 0.1604 0.3208 0.2558 (multiplicity 6)  1 Be 1.63
O2 0.3333 0.6667 0.9312 (multiplicity 2)  1 Be 1.57

Its electronic total energy is -6.869 eV per atom. The calculation puts the uncorrected formation energy at -1.43 eV/atom. The total magnetization is 0.0833 μB per atom.

=====

PrNpBeO6 | PBE | relaxed

Lattice parameters (Å, degrees): 5.1171 5.1171 5.2644 90.00 90.00 120.00
Closest atoms and distances in Å follow each position.
Space group P312 (No. 149)
Unique sites:
Pr1 0.0000 0.0000 0.0000 (multiplicity 1)  6 O 2.43
Np1 0.6667 0.3333 0.5000 (multiplicity 1)  6 O 2.02
Be1 0.3333 0.6667 0.5000 (multiplicity 1)  6 O 1.90
O1 0.0173 0.3749 0.2921 (multiplicity 6)  1 Be 1.90, 1 Np 2.02

Its electronic total energy is -8.350 eV per atom. The calculation puts the uncorrected formation energy at -2.66 eV/atom. The total magnetization is 0.0000 μB per atom.

=====

Rb2NpBe2O6 | PBE | relaxed

Lattice parameters (Å, degrees): 5.6081 5.6081 18.6686 90.00 90.00 120.00
Closest atoms and distances in Å follow each position.
Space group R-3m (No. 166, hexagonal axes)
Unique sites:
Rb1 0.0000 0.0000 0.2108 (multiplicity 6)  9 O 3.00-3.19
Np1 0.0000 0.0000 0.0000 (multiplicity 3)  6 O 2.09
Be1 0.0000 0.0000 0.3975 (multiplicity 6)  3 O 1.55
O1 0.0134 0.5067 0.2675 (multiplicity 18)  1 Be 1.55

Its electronic total energy is -7.192 eV per atom. The calculation puts the uncorrected formation energy at -2.46 eV/atom. The total magnetization is 0.0909 μB per atom.

=====

RbNp2BeO8 | PBE | relaxed

Lattice parameters (Å, degrees): 4.9421 5.8831 6.9997 96.66 94.97 98.40
Closest atoms and distances in Å follow each position.
Space group P-1 (No. 2)
Unique sites:
Rb1 0.0000 0.0000 0.0000 (multiplicity 1)  4 O 2.61-2.92
Np1 0.4750 0.4530 0.7379 (multiplicity 2)  3 O 1.87-1.95
Be1 0.0000 0.0000 0.5000 (multiplicity 1)  2 O 1.47
O1 0.1384 0.1888 0.6468 (multiplicity 2)  1 Be 1.47
O2 0.1632 0.3925 0.2219 (multiplicity 2)  1 Np 1.87
O3 0.3799 0.6667 0.5598 (multiplicity 2)  1 Np 1.95
O4 0.4426 0.7118 0.0471 (multiplicity 2)  1 Np 1.93

Its electronic total energy is -8.169 eV per atom. The calculation puts the uncorrected formation energy at -2.32 eV/atom. The total magnetization is 0.0833 μB per atom.

=====

RbNpBeO6 | PBE | relaxed

Lattice parameters (Å, degrees): 5.0435 5.0435 6.5116 90.00 90.00 120.00
Closest atoms and distances in Å follow each position.
Space group P312 (No. 149)
Unique sites:
Rb1 0.0000 0.0000 0.0000 (multiplicity 1)  6 O 2.90
Np1 0.3333 0.6667 0.5000 (multiplicity 1)  6 O 1.97
Be1 0.6667 0.3333 0.5000 (multiplicity 1)  6 O 1.85
O1 0.3835 0.0182 0.6631 (multiplicity 6)  1 Be 1.85, 1 Np 1.97

Its electronic total energy is -7.093 eV per atom. The calculation puts the uncorrected formation energy at -1.83 eV/atom. The total magnetization is 0.2161 μB per atom.

=====

NpBeSbO6 | PBE | relaxed

Lattice parameters (Å, degrees): 5.0897 5.0897 9.2527 90.00 90.00 120.00
Closest atoms and distances in Å follow each position.
Space group P-31c (No. 163)
Unique sites:
Np1 0.3333 0.6667 0.2500 (multiplicity 2)  6 O 2.09
Be1 0.3333 0.6667 0.7500 (multiplicity 2)  6 O 1.92
Sb1 0.0000 0.0000 0.0000 (multiplicity 2)  6 O 2.13
O1 0.0261 0.3537 0.6323 (multiplicity 12)  1 Be 1.92, 1 Np 2.09, 1 Sb 2.13

Its electronic total energy is -7.622 eV per atom. The calculation puts the uncorrected formation energy at -2.01 eV/atom. The total magnetization is 0.1424 μB per atom.

=====

NpScBeO6 | PBE | relaxed

Lattice parameters (Å, degrees): 5.0208 5.0208 9.3099 90.00 90.00 120.00
Closest atoms and distances in Å follow each position.
Space group P-31c (No. 163)
Unique sites:
Np1 0.3333 0.6667 0.2500 (multiplicity 2)  6 O 2.02
Sc1 0.0000 0.0000 0.0000 (multiplicity 2)  6 O 2.15
Be1 0.3333 0.6667 0.7500 (multiplicity 2)  6 O 1.89
O1 0.0206 0.3559 0.6364 (multiplicity 12)  1 Be 1.89, 1 Np 2.02

Its electronic total energy is -8.501 eV per atom. The calculation puts the uncorrected formation energy at -2.64 eV/atom. The total magnetization is 0.0000 μB per atom.

=====

NpBe2SeO8 | PBE | relaxed

Lattice parameters (Å, degrees): 9.6966 5.9668 4.5800 90.00 97.77 90.00
Closest atoms and distances in Å follow each position.
Space group C2/m (No. 12)
Unique sites:
Np1 0.0000 0.0000 0.0000 (multiplicity 2)  2 O 1.86
Be1 0.1677 0.5000 0.1060 (multiplicity 4)  4 O 1.59-1.68
Se1 0.0000 0.5000 0.5000 (multiplicity 2)  6 O 1.75-1.88
O1 0.0878 0.2951 0.2721 (multiplicity 8)  1 Be 1.68, 1 Se 1.88
O2 0.1510 0.5000 0.7567 (multiplicity 4)  1 Be 1.59, 1 Se 1.75
O3 0.1581 0.0000 0.8115 (multiplicity 4)  1 Be 1.68, 1 Np 1.86

Its electronic total energy is -7.130 eV per atom. The calculation puts the uncorrected formation energy at -1.83 eV/atom. The total magnetization is 0.0834 μB per atom.

=====

NpBeSiO6 | PBE | relaxed

Lattice parameters (Å, degrees): 4.8486 4.8486 8.4671 90.00 90.00 120.00
Closest atoms and distances in Å follow each position.
Space group P-31c (No. 163)
Unique sites:
Np1 0.3333 0.6667 0.2500 (multiplicity 2)  6 O 2.07
Be1 0.3333 0.6667 0.7500 (multiplicity 2)  6 O 1.91
Si1 0.0000 0.0000 0.0000 (multiplicity 2)  6 O 1.83
O1 0.0273 0.3255 0.6219 (multiplicity 12)  1 Si 1.83, 1 Be 1.91

Its electronic total energy is -8.081 eV per atom. The calculation puts the uncorrected formation energy at -2.32 eV/atom. The total magnetization is 0.1111 μB per atom.

=====

NpBeSnO6 | PBE | relaxed

Lattice parameters (Å, degrees): 5.0625 5.0625 9.1803 90.00 90.00 120.00
Closest atoms and distances in Å follow each position.
Space group P-31c (No. 163)
Unique sites:
Np1 0.3333 0.6667 0.2500 (multiplicity 2)  6 O 2.07
Be1 0.3333 0.6667 0.7500 (multiplicity 2)  6 O 1.91
Sn1 0.0000 0.0000 0.0000 (multiplicity 2)  6 O 2.12
O1 0.0251 0.3536 0.6327 (multiplicity 12)  1 Be 1.91, 1 Np 2.07, 1 Sn 2.12

Its electronic total energy is -7.731 eV per atom. The calculation puts the uncorrected formation energy at -2.13 eV/atom. The total magnetization is 0.1111 μB per atom.